Here is a relaxed Li3Fe2P3O12 crystal from Alexandria. Energies are from PBE+U.

abc: 11.677 12.568 6.413
angles: 90.00 114.79 90.00
Space group C2/c (No. 15)
Unique sites:
Li: 0.000 0.000 0.000 x4
Li: 0.000 0.210 0.250 x4
Li: 0.000 0.457 0.250 x4
Fe: 0.214 0.344 0.132 x8
P: 0.000 0.209 0.750 x4
P: 0.236 0.397 0.631 x8
O: 0.046 0.278 0.970 x8
O: 0.102 0.132 0.737 x8
O: 0.125 0.084 0.304 x8
O: 0.156 0.498 0.100 x8
O: 0.166 0.338 0.396 x8
O: 0.220 0.325 0.818 x8

## Properties
**E_tot**: -539.62 eV per cell
**Total moment**: 39.7 μB/cell
**Offset from the most stable computed form**: 0.024 eV per atom